Entry 1:
A relaxed structure of La2Zr2Ge, computed with PBE.

a = 7.9197 Å, b = 7.9197 Å, c = 4.3592 Å
α = 90.00°, β = 90.00°, γ = 90.00°
Atoms (fractional coordinates):
La 0.1461 0.3539 0.0000
La 0.3539 0.8539 0.0000
La 0.6461 0.1461 0.0000
La 0.8539 0.6461 0.0000
Zr 0.1697 0.6697 0.5000
Zr 0.3303 0.1697 0.5000
Zr 0.6697 0.8303 0.5000
Zr 0.8303 0.3303 0.5000
Ge 0.0000 0.0000 0.0000
Ge 0.5000 0.5000 0.0000

The space-group type is P4/mbm, No. 127. As for the volume: 273.4 Å³ per cell. Its energy of formation is 0.3306 eV/atom. As for the energy above the most stable polymorph in this dataset: 2.48 eV/f.u.

Entry 2:
A relaxed structure of Li2Tl2Pb, computed with PBE.

a = 5.0100 Å, b = 3.5302 Å, c = 14.0431 Å
α = 90.00°, β = 91.15°, γ = 90.00°
Atoms (fractional coordinates):
Li 0.2446 0.2500 0.3414
Li 0.2512 0.7500 0.9611
Li 0.7488 0.2500 0.0389
Li 0.7554 0.7500 0.6586
Tl 0.2517 0.2500 0.1307
Tl 0.2530 0.7500 0.5441
Tl 0.7470 0.2500 0.4559
Tl 0.7483 0.7500 0.8693
Pb 0.2467 0.2500 0.7577
Pb 0.7533 0.7500 0.2423

The space-group type is P2_1/m, No. 11. As for the volume: 248.3 Å³ per cell. Its energy of formation is -0.1266 eV/atom. As for the energy above the most stable polymorph in this dataset: 0.14 eV/f.u.

Entry 3:
A relaxed structure of Na2PmCdSn2, computed with PBE.

a = 4.8476 Å, b = 9.1697 Å, c = 7.6624 Å
α = 90.00°, β = 90.00°, γ = 90.00°
Atoms (fractional coordinates):
Na 0.0000 0.0738 0.0000
Na 0.0000 0.9262 0.5000
Na 0.5000 0.1629 0.3065
Na 0.5000 0.8371 0.8065
Pm 0.5000 0.4633 0.9655
Pm 0.5000 0.5367 0.4655
Cd 0.0000 0.3108 0.6228
Cd 0.0000 0.6892 0.1228
Sn 0.0000 0.3812 0.2400
Sn 0.0000 0.6188 0.7400
Sn 0.5000 0.1709 0.7283
Sn 0.5000 0.8291 0.2283

The space-group type is Pmc2_1, No. 26. As for the volume: 340.6 Å³ per cell. Its energy of formation is -0.3602 eV/atom.

Entry 4:
A relaxed structure of MnAlCrCo, computed with PBE.

a = 4.0398 Å, b = 4.0398 Å, c = 4.0398 Å
α = 60.00°, β = 60.00°, γ = 60.00°
Atoms (fractional coordinates):
Mn 0.0000 0.0000 0.0000
Al 0.2500 0.2500 0.2500
Cr 0.7500 0.7500 0.7500
Co 0.5000 0.5000 0.5000

The space-group type is F-43m, No. 216. As for the volume: 46.6 Å³ per cell. Its energy of formation is -0.1915 eV/atom.

Entry 5:
A relaxed structure of BaTa2Br, computed with PBE.

a = 7.3944 Å, b = 7.3944 Å, c = 3.3675 Å
α = 103.11°, β = 103.11°, γ = 133.24°
Atoms (fractional coordinates):
Ba 0.0000 0.0000 0.0000
Ta 0.0000 0.5000 0.0000
Ta 0.5000 0.0000 0.0000
Br 0.5000 0.5000 0.0000

The space-group type is C2/m, No. 12. As for the volume: 110.1 Å³ per cell. The formation energy from raw total energies is 0.6530 eV per atom. As for the energy above the most stable polymorph in this dataset: 2.09 eV/f.u.

Entry 6:
A relaxed structure of SrAcCd4, computed with PBE.

a = 6.2220 Å, b = 6.2220 Å, c = 6.2220 Å
α = 60.00°, β = 60.00°, γ = 60.00°
Atoms (fractional coordinates):
Sr 0.0000 0.0000 0.0000
Ac 0.2500 0.2500 0.2500
Cd 0.1265 0.6245 0.6245
Cd 0.6245 0.1265 0.6245
Cd 0.6245 0.6245 0.1265
Cd 0.6245 0.6245 0.6245

The space-group type is F-43m, No. 216. As for the volume: 170.3 Å³ per cell. Its energy of formation is -0.2926 eV/atom. As for the energy above the most stable polymorph in this dataset: 0.00 eV/f.u.

Entry 7:
A relaxed structure of RbCd, computed with PBE.

a = 5.9764 Å, b = 5.9764 Å, c = 5.9764 Å
α = 60.00°, β = 60.00°, γ = 60.00°
Atoms (fractional coordinates):
Rb 0.0000 0.0000 0.0000
Cd 0.7500 0.7500 0.7500

The space-group type is F-43m, No. 216. As for the volume: 150.9 Å³ per cell. Its energy of formation is 0.3224 eV/atom.

Entry 8:
A relaxed structure of NaFeW3, computed with PBE.

a = 4.5497 Å, b = 4.5497 Å, c = 4.5497 Å
α = 90.00°, β = 90.00°, γ = 90.00°
Atoms (fractional coordinates):
Na 0.0000 0.0000 0.0000
Fe 0.5000 0.5000 0.5000
W 0.0000 0.5000 0.5000
W 0.5000 0.0000 0.5000
W 0.5000 0.5000 0.0000

The space-group type is Pm-3m, No. 221. As for the volume: 94.2 Å³ per cell. Its energy of formation is 1.5625 eV/atom. As for the energy above the most stable polymorph in this dataset: 0.00 eV/f.u.

Entry 9:
A relaxed structure of CaHo2Al, computed with PBE.

a = 5.3651 Å, b = 5.3651 Å, c = 5.3651 Å
α = 60.00°, β = 60.00°, γ = 60.00°
Atoms (fractional coordinates):
Ca 0.0000 0.0000 0.0000
Ho 0.2500 0.2500 0.2500
Ho 0.7500 0.7500 0.7500
Al 0.5000 0.5000 0.5000

The space-group type is Fm-3m, No. 225. As for the volume: 109.2 Å³ per cell. Its energy of formation is -0.0410 eV/atom. As for the energy above the most stable polymorph in this dataset: 0.42 eV/f.u.

Entry 10:
A relaxed structure of ReHg4P, computed with PBE.

a = 5.6282 Å, b = 5.6282 Å, c = 5.6282 Å
α = 60.00°, β = 60.00°, γ = 60.00°
Atoms (fractional coordinates):
Re 0.0000 0.0000 0.0000
Hg 0.1239 0.6254 0.6254
Hg 0.6254 0.1239 0.6254
Hg 0.6254 0.6254 0.1239
Hg 0.6254 0.6254 0.6254
P 0.2500 0.2500 0.2500

The space-group type is F-43m, No. 216. As for the volume: 126.1 Å³ per cell. Its energy of formation is 1.2661 eV/atom.

Entry 11:
A relaxed structure of Ce2NdPt9, computed with PBE.

a = 9.4967 Å, b = 9.4967 Å, c = 9.4967 Å
α = 33.31°, β = 33.31°, γ = 33.31°
Atoms (fractional coordinates):
Ce 0.1394 0.1394 0.1394
Ce 0.8606 0.8606 0.8606
Nd 0.0000 0.0000 0.0000
Pt 0.0815 0.5868 0.5868
Pt 0.3328 0.3328 0.3328
Pt 0.4132 0.4132 0.9185
Pt 0.4132 0.9185 0.4132
Pt 0.5000 0.5000 0.5000
Pt 0.5868 0.0815 0.5868
Pt 0.5868 0.5868 0.0815
Pt 0.6672 0.6672 0.6672
Pt 0.9185 0.4132 0.4132

The space-group type is R-3m, No. 166. As for the volume: 230.0 Å³ per cell. Its energy of formation is -0.9131 eV/atom.

Entry 12:
A relaxed structure of Ca2BiH6, computed with PBE.

a = 5.5122 Å, b = 5.5122 Å, c = 5.5122 Å
α = 60.00°, β = 60.00°, γ = 60.00°
Atoms (fractional coordinates):
Ca 0.2500 0.2500 0.2500
Ca 0.7500 0.7500 0.7500
Bi 0.0000 0.0000 0.0000
H 0.2897 0.2897 0.7103
H 0.2897 0.7103 0.2897
H 0.2897 0.7103 0.7103
H 0.7103 0.2897 0.2897
H 0.7103 0.2897 0.7103
H 0.7103 0.7103 0.2897

The space-group type is Fm-3m, No. 225. As for the volume: 118.4 Å³ per cell.

Entry 13:
A relaxed structure of CsAcTaO5, computed with PBE.

a = 6.8470 Å, b = 6.8470 Å, c = 8.7900 Å
α = 103.93°, β = 103.93°, γ = 106.68°
Atoms (fractional coordinates):
Cs 0.1693 0.8307 0.7500
Cs 0.8307 0.1693 0.2500
Ac 0.5000 0.5000 0.0000
Ac 0.5000 0.5000 0.5000
Ta 0.1877 0.8123 0.2500
Ta 0.8123 0.1877 0.7500
O 0.0982 0.2690 0.8852
O 0.2062 0.6323 0.3802
O 0.2690 0.0982 0.3852
O 0.3677 0.7938 0.1198
O 0.4472 0.5528 0.7500
O 0.5528 0.4472 0.2500
O 0.6323 0.2062 0.8802
O 0.7310 0.9018 0.6148
O 0.7938 0.3677 0.6198
O 0.9018 0.7310 0.1148

The space-group type is C2/c, No. 15. As for the volume: 361.2 Å³ per cell. The formation energy from raw total energies is -2.5596 eV per atom.

Entry 14:
A relaxed structure of ReAuCl2, computed with PBE.

a = 5.9894 Å, b = 5.9894 Å, c = 5.9894 Å
α = 149.36°, β = 109.97°, γ = 78.36°
Atoms (fractional coordinates):
Re 0.0000 0.0000 0.0000
Au 0.2264 0.7264 0.5000
Cl 0.4449 0.4449 0.0000
Cl 0.8049 0.3049 0.5000

The space-group type is Imm2, No. 44. As for the volume: 101.0 Å³ per cell. The formation energy from raw total energies is 0.5213 eV per atom. As for the energy above the most stable polymorph in this dataset: 1.61 eV/f.u.

Entry 15:
A relaxed structure of CdFe2Pt, computed with PBE.

a = 5.2547 Å, b = 5.2547 Å, c = 5.2547 Å
α = 148.01°, β = 128.39°, γ = 62.02°
Atoms (fractional coordinates):
Cd 0.0000 0.0000 0.0000
Fe 0.2664 0.7664 0.5000
Fe 0.4781 0.4781 0.0000
Pt 0.7248 0.2248 0.5000

The space-group type is Imm2, No. 44. As for the volume: 59.7 Å³ per cell. Its energy of formation is 0.0608 eV/atom.

Entry 16:
A relaxed structure of TaTl2Sb, computed with PBE.

a = 4.2910 Å, b = 4.2910 Å, c = 5.3097 Å
α = 90.00°, β = 90.00°, γ = 90.00°
Atoms (fractional coordinates):
Ta 0.0000 0.0000 0.0000
Tl 0.0000 0.5000 0.5000
Tl 0.5000 0.0000 0.5000
Sb 0.5000 0.5000 0.0000

The space-group type is P4/mmm, No. 123. As for the volume: 97.8 Å³ per cell. The formation energy from raw total energies is 0.6987 eV per atom. As for the energy above the most stable polymorph in this dataset: 1.76 eV/f.u.

Entry 17:
A relaxed structure of Sc8Cu2Os, computed with PBE.

a = 8.2824 Å, b = 8.2824 Å, c = 6.3250 Å
α = 108.51°, β = 108.51°, γ = 33.37°
Atoms (fractional coordinates):
Sc 0.0300 0.0300 0.2951
Sc 0.1930 0.1930 0.8018
Sc 0.3319 0.3319 0.5293
Sc 0.4047 0.4047 0.0564
Sc 0.5953 0.5953 0.9436
Sc 0.6681 0.6681 0.4707
Sc 0.8070 0.8070 0.1982
Sc 0.9700 0.9700 0.7049
Cu 0.1816 0.1816 0.2005
Cu 0.8184 0.8184 0.7995
Os 0.5000 0.5000 0.5000

The space-group type is C2/m, No. 12. As for the volume: 225.1 Å³ per cell. Its energy of formation is -0.2486 eV/atom.

Entry 18:
A relaxed structure of PrTm2Cu3, computed with PBE.

a = 3.4618 Å, b = 3.4618 Å, c = 10.5581 Å
α = 90.00°, β = 90.00°, γ = 90.00°
Atoms (fractional coordinates):
Pr 0.0000 0.0000 0.0000
Tm 0.0000 0.0000 0.3397
Tm 0.0000 0.0000 0.6603
Cu 0.5000 0.5000 0.1888
Cu 0.5000 0.5000 0.5000
Cu 0.5000 0.5000 0.8112

The space-group type is P4/mmm, No. 123. As for the volume: 126.5 Å³ per cell. Its energy of formation is -0.2358 eV/atom.

Entry 19:
A relaxed structure of NaYNpO6, computed with PBE.

a = 5.1636 Å, b = 5.1636 Å, c = 10.2502 Å
α = 90.00°, β = 90.00°, γ = 90.00°
Atoms (fractional coordinates):
Na 0.0000 0.0000 0.0000
Na 0.5000 0.5000 0.5000
Y 0.0000 0.0000 0.6692
Y 0.5000 0.5000 0.1692
Np 0.0000 0.0000 0.3339
Np 0.5000 0.5000 0.8339
O 0.1763 0.1763 0.4828
O 0.1917 0.1917 0.1939
O 0.2231 0.2231 0.8245
O 0.2769 0.7231 0.3245
O 0.3083 0.6917 0.6939
O 0.3237 0.6763 0.9828
O 0.6763 0.3237 0.9828
O 0.6917 0.3083 0.6939
O 0.7231 0.2769 0.3245
O 0.7769 0.7769 0.8245
O 0.8083 0.8083 0.1939
O 0.8237 0.8237 0.4828

The space-group type is P4_2nm, No. 102. As for the volume: 273.3 Å³ per cell. The formation energy from raw total energies is -2.4661 eV per atom.

Entry 20:
A relaxed structure of PrTl4Cl7, computed with PBE.

a = 11.2162 Å, b = 11.2162 Å, c = 7.6031 Å
α = 107.23°, β = 107.23°, γ = 28.09°
Atoms (fractional coordinates):
Pr 0.0000 0.0000 0.0000
Tl 0.2959 0.2959 0.7572
Tl 0.4128 0.4128 0.3701
Tl 0.5872 0.5872 0.6299
Tl 0.7041 0.7041 0.2428
Cl 0.0761 0.0761 0.3631
Cl 0.1117 0.1117 0.8970
Cl 0.2778 0.2778 0.3447
Cl 0.5000 0.5000 0.0000
Cl 0.7222 0.7222 0.6553
Cl 0.8883 0.8883 0.1030
Cl 0.9239 0.9239 0.6369

The space-group type is C2/m, No. 12. As for the volume: 428.8 Å³ per cell. The formation energy from raw total energies is -1.4086 eV per atom.

Entry 21:
A relaxed structure of Ca2SiAsI, computed with PBE.

a = 5.6771 Å, b = 5.6771 Å, c = 5.3021 Å
α = 90.00°, β = 90.00°, γ = 90.00°
Atoms (fractional coordinates):
Ca 0.0000 0.5000 0.0000
Ca 0.5000 0.0000 0.0000
Si 0.0000 0.0000 0.0000
As 0.5000 0.5000 0.5000
I 0.0000 0.0000 0.5000

The space-group type is P4/mmm, No. 123. As for the volume: 170.9 Å³ per cell. The formation energy from raw total energies is 0.0570 eV per atom.

Total DFT energy (no corrections) in Ry/atom, matching the order above: -0.4398, -0.1896, -0.2263, -0.5587, -0.4536, -0.1373, -0.0455, -0.6002, -0.2768, -0.1405, -0.5020, -0.2109, -0.5704, -0.3185, -0.4343, -0.3291, -0.4865, -0.3360, -0.5934, -0.2699, -0.2255